No. 1
# Pm2ZrAlIr2

A relaxed Pm2ZrAlIr2 crystal (GGA-PBE, Alexandria via LeMat-Bulk).

Output
Energy of formation: -0.725 eV/atom
Electronic total energy: -43.86 eV per formula unit
Density: 9.77 Mg/m³

The structure in POSCAR format:
```
Pm2ZrAlIr2
1.0
-3.028 6.857 3.242
3.028 -6.857 3.242
3.028 6.857 -3.242
Pm Zr Al Ir
4 2 2 4
Direct
0.179 0.234 0.414
0.321 0.734 0.055
0.679 0.266 0.945
0.821 0.766 0.586
0.250 0.750 0.500
0.750 0.250 0.500
0.250 0.250 0.000
0.750 0.750 0.000
0.108 0.757 0.864
0.392 0.257 0.649
0.608 0.743 0.351
0.892 0.243 0.136
```

---

No. 2
# CaEuSiAu

A relaxed CaEuSiAu crystal (GGA-PBE, Alexandria via LeMat-Bulk).

Output
Raw formation energy: -0.566 eV/atom
Electronic total energy: -23.24 eV per formula unit
Density: 7.06 Mg/m³

The structure in POSCAR format:
```
CaEuSiAu
1.0
0.000 3.660 3.660
3.660 0.000 3.660
3.660 3.660 0.000
Ca Eu Si Au
1 1 1 1
Direct
0.000 0.000 0.000
0.500 0.500 0.500
0.750 0.750 0.750
0.250 0.250 0.250
```

---

No. 3
# CsTlReAu2

A relaxed CsTlReAu2 crystal (GGA-PBE, Alexandria via LeMat-Bulk).

Output
Energy of formation: 1.997 eV/atom
Electronic total energy: -12.24 eV per formula unit
Density: 5.91 Mg/m³

The structure in POSCAR format:
```
CsTlReAu2
1.0
6.423 0.000 0.000
0.000 6.423 0.000
0.000 0.000 6.247
Cs Tl Re Au
1 1 1 2
Direct
0.000 0.000 0.000
0.500 0.500 0.500
0.000 0.000 0.500
0.000 0.500 0.000
0.500 0.000 0.000
```